1.
First-principles (PBE) data for a relaxed structure of Tl4In8Hg3, as listed in Alexandria.

Space group: No. 115
Calculated density: 9.06 g cm⁻³
Electronic total energy: -0.078 Ha/atom

The structure in POSCAR format:
```
Tl4In8Hg3
1.0
4.7755 0.0000 0.0000
0.0000 4.7755 0.0000
0.0000 0.0000 18.7817
Tl In Hg
4 8 3
Direct
0.0000 0.5000 0.1078
0.0000 0.5000 0.6267
0.5000 0.0000 0.3733
0.5000 0.0000 0.8922
0.0000 0.0000 0.2430
0.0000 0.0000 0.7570
0.0000 0.5000 0.3717
0.0000 0.5000 0.8851
0.5000 0.0000 0.1149
0.5000 0.0000 0.6283
0.5000 0.5000 0.2395
0.5000 0.5000 0.7605
0.0000 0.0000 0.0000
0.0000 0.0000 0.5000
0.5000 0.5000 0.5000
```


2.
First-principles (PBE) data for a relaxed structure of Tl2InHg, as listed in Alexandria.

Space group: No. 6
Calculated density: 10.36 g cm⁻³
Electronic total energy: -0.071 Ha/atom
Excess energy over the best structure of this formula in the dataset: 5.9 meV per atom

The structure in POSCAR format:
```
Tl2InHg
1.0
3.4832 0.0000 0.0000
0.0000 4.9138 0.0000
-1.6072 0.0000 6.7838
Tl In Hg
2 1 1
Direct
0.0000 0.0000 0.0000
0.3379 0.5000 0.7055
0.7189 0.0000 0.4761
0.6076 0.5000 0.2150
```


3.
First-principles (PBE) data for a relaxed structure of Tl2InHg2, as listed in Alexandria.

Space group: No. 127
Calculated density: 10.28 g cm⁻³
Electronic total energy: -0.057 Ha/atom
Excess energy over the best structure of this formula in the dataset: 40.4 meV per atom

The structure in POSCAR format:
```
Tl2InHg2
1.0
8.6613 0.0000 0.0000
0.0000 8.6613 0.0000
0.0000 0.0000 3.9842
Tl In Hg
4 2 4
Direct
0.1432 0.3568 0.0000
0.3568 0.8568 0.0000
0.6432 0.1432 0.0000
0.8568 0.6432 0.0000
0.0000 0.0000 0.0000
0.5000 0.5000 0.0000
0.1580 0.6580 0.5000
0.3420 0.1580 0.5000
0.6580 0.8420 0.5000
0.8420 0.3420 0.5000
```


4.
First-principles (PBE) data for a relaxed structure of TlIn14Hg, as listed in Alexandria.

Space group: No. 123
Calculated density: 7.62 g cm⁻³
Electronic total energy: -0.094 Ha/atom

The structure in POSCAR format:
```
TlIn14Hg
1.0
7.3251 0.0000 0.0000
0.0000 7.3251 0.0000
0.0000 0.0000 8.1690
Tl In Hg
1 14 1
Direct
0.0000 0.0000 0.0000
0.0000 0.0000 0.5000
0.0000 0.5000 0.0000
0.0000 0.5000 0.5000
0.2543 0.2543 0.2506
0.2543 0.2543 0.7494
0.2543 0.7457 0.2506
0.2543 0.7457 0.7494
0.5000 0.0000 0.0000
0.5000 0.0000 0.5000
0.5000 0.5000 0.5000
0.7457 0.2543 0.2506
0.7457 0.2543 0.7494
0.7457 0.7457 0.2506
0.7457 0.7457 0.7494
0.5000 0.5000 0.0000
```